1.
Compound: EuRh4Au
Source: Alexandria via LeMat-Bulk
Functional: GGA-PBE
Structure: optimized geometry

Results
Theoretical density = 12.03 g/cm³
Total energy = -7.274 eV/atom
Formation energy from the elements = -0.114 eV per atom
V = 105 Å³/f.u.
Space group = F-43m, No. 216

a b c (Å): 5.2951 5.2951 5.2951
angles (deg): 60.00 60.00 60.00
Last column: nearest neighbours and their distance in Å.
Fractional positions:
Rh1 0.6256 0.6256 0.6256  6 Rh 2.63-2.66
Rh2 0.6256 0.1232 0.6256  6 Rh 2.63-2.66
Rh3 0.6256 0.6256 0.1232  6 Rh 2.63-2.66
Rh4 0.1232 0.6256 0.6256  6 Rh 2.63-2.66
Au1 0.0000 0.0000 0.0000  12 Rh 3.10, 4 Eu 3.24
Eu1 0.2500 0.2500 0.2500  12 Rh 3.11, 4 Au 3.24


2.
Compound: EuTlRhAu
Source: Alexandria via LeMat-Bulk
Functional: GGA-PBE
Structure: optimized geometry

Results
Theoretical density = 12.58 g/cm³
Total energy = -6.072 eV/atom
Formation energy from the elements = -0.255 eV per atom
V = 87 Å³/f.u.
Space group = F-43m, No. 216

a b c (Å): 4.9669 4.9669 4.9669
angles (deg): 60.00 60.00 60.00
Last column: nearest neighbours and their distance in Å.
Fractional positions:
Tl1 0.7500 0.7500 0.7500  4 Au 3.04, 4 Rh 3.04
Rh1 0.5000 0.5000 0.5000  4 Tl 3.04, 4 Eu 3.04
Au1 0.0000 0.0000 0.0000  4 Eu 3.04, 4 Tl 3.04
Eu1 0.2500 0.2500 0.2500  4 Rh 3.04, 4 Au 3.04


3.
Compound: EuTmRhAu
Source: Alexandria via LeMat-Bulk
Functional: GGA-PBE
Structure: optimized geometry

Results
Theoretical density = 11.64 g/cm³
Total energy = -7.024 eV/atom
Formation energy from the elements = -0.681 eV per atom
V = 89 Å³/f.u.
Space group = F-43m, No. 216

a b c (Å): 5.0038 5.0038 5.0038
angles (deg): 60.00 60.00 60.00
Last column: nearest neighbours and their distance in Å.
Fractional positions:
Rh1 0.5000 0.5000 0.5000  4 Tm 3.06, 4 Eu 3.06
Eu1 0.2500 0.2500 0.2500  4 Rh 3.06, 4 Au 3.06
Tm1 0.7500 0.7500 0.7500  4 Rh 3.06, 4 Au 3.06
Au1 0.0000 0.0000 0.0000  4 Tm 3.06, 4 Eu 3.06